No. 1
## Nd4Hg2O (PBE-GGA)

Data for a relaxed Nd4Hg2O crystal.

Geometry as POSCAR:
```
Nd4Hg2O
1.0
4.859 0.000 0.000
0.000 24.653 0.000
0.000 0.000 3.568
Nd Hg O
8 4 2
direct
0.000 0.067 0.000
0.000 0.197 0.500
0.000 0.803 0.500
0.000 0.933 0.000
0.500 0.303 0.500
0.500 0.433 0.000
0.500 0.567 0.000
0.500 0.697 0.500
0.000 0.346 0.000
0.000 0.654 0.000
0.500 0.154 0.000
0.500 0.846 0.000
0.000 0.000 0.500
0.500 0.500 0.500
```

Properties
DOS(E_F) = 11.50 states/eV/cell
M_tot = 0.000 μB/f.u.
E_form (uncorrected) = -0.767 eV per atom
ΔE to the lowest computed polymorph = 0.2676 eV/atom


No. 2
## Nd5Hg2O2 (PBE-GGA)

Data for a relaxed Nd5Hg2O2 crystal.

Geometry as POSCAR:
```
Nd5Hg2O2
1.0
-3.550 9.299 3.557
3.550 -9.299 3.557
3.550 9.299 -3.557
Nd Hg O
10 4 4
direct
0.000 0.000 0.500
0.000 0.500 0.000
0.229 0.000 0.729
0.229 0.092 0.137
0.229 0.500 0.229
0.455 0.092 0.363
0.545 0.908 0.637
0.771 0.000 0.271
0.771 0.500 0.771
0.771 0.908 0.863
0.109 0.479 0.630
0.350 0.479 0.870
0.650 0.521 0.130
0.891 0.521 0.370
0.000 0.000 0.000
0.222 0.972 0.250
0.500 0.000 0.500
0.778 0.028 0.750
```

Properties
DOS(E_F) = 9.14 states/eV/cell
M_tot = 0.000 μB/f.u.
E_form (uncorrected) = -1.414 eV per atom


No. 3
## Nd2HgO2 (PBE-GGA)

Data for a relaxed Nd2HgO2 crystal.

Geometry as POSCAR:
```
Nd2HgO2
1.0
4.143 0.000 0.000
0.000 4.143 0.000
0.000 0.000 12.462
Nd Hg O
4 2 4
direct
0.000 0.000 0.160
0.000 0.000 0.840
0.500 0.500 0.340
0.500 0.500 0.660
0.000 0.000 0.500
0.500 0.500 0.000
0.000 0.500 0.250
0.000 0.500 0.750
0.500 0.000 0.250
0.500 0.000 0.750
```

Properties
DOS(E_F) = 4.68 states/eV/cell
M_tot = 0.000 μB/f.u.
E_form (uncorrected) = -2.384 eV per atom


No. 4
## Nd2Hg3O6 (PBE-GGA)

Data for a relaxed Nd2Hg3O6 crystal.

Geometry as POSCAR:
```
Nd2Hg3O6
1.0
7.374 -1.956 0.000
7.374 1.956 0.000
-0.485 0.000 6.682
Nd Hg O
2 3 6
direct
0.134 0.134 0.059
0.866 0.866 0.941
0.000 0.000 0.500
0.330 0.330 0.414
0.670 0.670 0.586
0.014 0.014 0.802
0.309 0.309 0.113
0.341 0.341 0.716
0.659 0.659 0.284
0.691 0.691 0.887
0.986 0.986 0.198
```

Properties
DOS(E_F) = 0.00 states/eV/cell
M_tot = 0.000 μB/f.u.
E_form (uncorrected) = -1.687 eV per atom


No. 5
## Nd2HgO (PBE-GGA)

Data for a relaxed Nd2HgO crystal.

Geometry as POSCAR:
```
Nd2HgO
1.0
3.748 0.000 0.000
-1.874 3.246 0.000
0.000 0.000 22.940
Nd Hg O
6 3 3
direct
0.000 0.000 0.226
0.000 0.000 0.774
0.333 0.667 0.441
0.333 0.667 0.893
0.667 0.333 0.107
0.667 0.333 0.559
0.000 0.000 0.000
0.333 0.667 0.667
0.667 0.333 0.333
0.000 0.000 0.500
0.333 0.667 0.167
0.667 0.333 0.833
```

Properties
DOS(E_F) = 10.71 states/eV/cell
M_tot = 0.000 μB/f.u.
E_form (uncorrected) = -1.476 eV per atom
ΔE to the lowest computed polymorph = 0.1442 eV/atom


No. 6
## Nd6Hg2O (PBE-GGA)

Data for a relaxed Nd6Hg2O crystal.

Geometry as POSCAR:
```
Nd6Hg2O
1.0
6.725 0.000 0.000
0.000 7.232 0.000
-6.691 0.000 10.647
Nd Hg O
12 4 2
direct
0.131 0.007 0.239
0.131 0.493 0.739
0.220 0.704 0.038
0.220 0.796 0.538
0.353 0.192 0.039
0.353 0.308 0.539
0.647 0.692 0.461
0.647 0.808 0.961
0.780 0.204 0.462
0.780 0.296 0.962
0.869 0.507 0.261
0.869 0.993 0.761
0.318 0.086 0.748
0.318 0.414 0.248
0.682 0.586 0.752
0.682 0.914 0.252
0.000 0.000 0.000
0.000 0.500 0.500
```

Properties
DOS(E_F) = 18.07 states/eV/cell
M_tot = 0.000 μB/f.u.
E_form (uncorrected) = -0.768 eV per atom


No. 7
## Nd6Hg3O (PBE-GGA)

Data for a relaxed Nd6Hg3O crystal.

Geometry as POSCAR:
```
Nd6Hg3O
1.0
6.653 0.000 0.000
0.000 8.237 0.000
-5.922 0.000 10.401
Nd Hg O
12 6 2
direct
0.072 0.052 0.227
0.072 0.448 0.727
0.182 0.723 0.063
0.182 0.777 0.563
0.382 0.145 0.050
0.382 0.355 0.550
0.618 0.645 0.450
0.618 0.855 0.950
0.818 0.223 0.437
0.818 0.277 0.937
0.928 0.552 0.273
0.928 0.948 0.773
0.322 0.114 0.734
0.322 0.386 0.234
0.500 0.000 0.500
0.500 0.500 0.000
0.678 0.614 0.766
0.678 0.886 0.266
0.000 0.000 0.000
0.000 0.500 0.500
```

Properties
DOS(E_F) = 20.74 states/eV/cell
M_tot = 0.000 μB/f.u.
E_form (uncorrected) = -0.758 eV per atom


No. 8
## Nd2HgO4 (PBE-GGA)

Data for a relaxed Nd2HgO4 crystal.

Geometry as POSCAR:
```
Nd2HgO4
1.0
7.012 -1.921 0.000
7.012 1.921 0.000
-5.335 0.000 8.874
Nd Hg O
4 2 8
direct
0.120 0.120 0.460
0.341 0.341 0.201
0.659 0.659 0.799
0.880 0.880 0.540
0.385 0.385 0.839
0.615 0.615 0.161
0.080 0.080 0.654
0.272 0.272 0.389
0.296 0.296 0.942
0.463 0.463 0.721
0.537 0.537 0.279
0.704 0.704 0.058
0.728 0.728 0.611
0.920 0.920 0.346
```

Properties
DOS(E_F) = 0.00 states/eV/cell
M_tot = 0.000 μB/f.u.
E_form (uncorrected) = -2.534 eV per atom


No. 9
## Nd4Hg2O (PBE-GGA)

Data for a relaxed Nd4Hg2O crystal.

Geometry as POSCAR:
```
Nd4Hg2O
1.0
4.947 0.000 0.000
0.000 4.947 0.000
0.000 0.000 15.555
Nd Hg O
8 4 2
direct
0.000 0.000 0.177
0.000 0.000 0.823
0.000 0.500 0.000
0.000 0.500 0.500
0.500 0.000 0.000
0.500 0.000 0.500
0.500 0.500 0.323
0.500 0.500 0.677
0.000 0.000 0.370
0.000 0.000 0.630
0.500 0.500 0.130
0.500 0.500 0.870
0.000 0.000 0.000
0.500 0.500 0.500
```

Properties
DOS(E_F) = 5.22 states/eV/cell
M_tot = 0.000 μB/f.u.
E_form (uncorrected) = -1.035 eV per atom
ΔE to the lowest computed polymorph = 0.0000 eV/atom


No. 10
## Nd2HgOsO8 (PBE-GGA)

Data for a relaxed Nd2HgOsO8 crystal.

Geometry as POSCAR:
```
Nd2HgOsO8
1.0
3.292 -3.538 0.000
3.292 3.538 0.000
-0.622 0.000 7.652
Nd Hg Os O
2 1 1 8
direct
0.051 0.051 0.250
0.949 0.949 0.750
0.500 0.500 0.000
0.500 0.500 0.500
0.194 0.194 0.982
0.226 0.226 0.544
0.259 0.626 0.325
0.374 0.741 0.675
0.626 0.259 0.325
0.741 0.374 0.675
0.774 0.774 0.456
0.806 0.806 0.018
```

Properties
M_tot = 0.000 μB/f.u.
E_form (uncorrected) = -1.834 eV per atom


No. 11
## NdHgOsO6 (PBE-GGA)

Data for a relaxed NdHgOsO6 crystal.

Geometry as POSCAR:
```
NdHgOsO6
1.0
2.837 -5.205 0.000
2.837 5.205 0.000
-1.329 0.000 5.103
Nd Hg Os O
1 1 1 6
direct
0.000 0.000 0.000
0.700 0.300 0.500
0.336 0.664 0.000
0.010 0.635 0.790
0.115 0.444 0.203
0.251 0.345 0.777
0.365 0.990 0.210
0.556 0.885 0.797
0.655 0.749 0.223
```

Properties
DOS(E_F) = 2.58 states/eV/cell
M_tot = 0.000 μB/f.u.
E_form (uncorrected) = -1.410 eV per atom


No. 12
## NdHgP2O8 (PBE-GGA)

Data for a relaxed NdHgP2O8 crystal.

Geometry as POSCAR:
```
NdHgP2O8
1.0
5.266 0.000 0.000
-2.633 4.560 0.000
0.000 0.000 7.430
Nd Hg P O
1 1 2 8
direct
0.000 0.000 0.000
0.000 0.000 0.500
0.333 0.667 0.798
0.667 0.333 0.202
0.171 0.342 0.737
0.171 0.829 0.737
0.333 0.667 0.007
0.342 0.171 0.263
0.658 0.829 0.737
0.667 0.333 0.993
0.829 0.171 0.263
0.829 0.658 0.263
```

Properties
DOS(E_F) = 8.76 states/eV/cell
M_tot = 0.864 μB/f.u.
E_form (uncorrected) = -2.029 eV per atom